Record 1
A geometry-optimized K2CdAgBr6 structure. Source: Alexandria via LeMat-Bulk, functional PBE.

Values from the calculation:
- VASP energy (eV per formula unit) = -25.95
- energy relative to the elements, uncorrected (eV per atom) = -1.00
- space group = P2_1/c, No. 14
- ρ (g/cm³) = 4.00
- Fermi-level density of states (states/eV per atom) = 0.546

Unit cell a=7.8640 b=7.7529 c=12.9363 alpha=90.00 beta=125.12 gamma=90.00
Positions (direct):
K 0.2298 0.0600 0.2456
K 0.2298 0.4400 0.7456
K 0.7702 0.5600 0.2544
K 0.7702 0.9400 0.7544
Cd 0.0000 0.0000 0.5000
Cd 0.0000 0.5000 0.0000
Ag 0.5000 0.0000 0.0000
Ag 0.5000 0.5000 0.5000
Br 0.1434 0.2241 0.9530
Br 0.1434 0.2759 0.4530
Br 0.2582 0.7176 0.9539
Br 0.2582 0.7824 0.4539
Br 0.3547 0.0247 0.7589
Br 0.3547 0.4753 0.2589
Br 0.6453 0.5247 0.7411
Br 0.6453 0.9753 0.2411
Br 0.7418 0.2176 0.5461
Br 0.7418 0.2824 0.0461
Br 0.8566 0.7241 0.5470
Br 0.8566 0.7759 0.0470

=====

Record 2
A geometry-optimized K3CdAg3Br8 structure. Source: Alexandria via LeMat-Bulk, functional PBE.

Values from the calculation:
- VASP energy (eV per formula unit) = -40.80
- energy relative to the elements, uncorrected (eV per atom) = -0.98
- space group = C2/m, No. 12
- ρ (g/cm³) = 4.15
- Fermi-level density of states (states/eV per atom) = 0.000

Unit cell a=8.6601 b=8.6601 c=8.9390 alpha=118.85 beta=118.85 gamma=58.83
Positions (direct):
K 0.0000 0.0000 0.0000
K 0.0000 0.5000 0.0000
K 0.5000 0.0000 0.0000
Cd 0.0000 0.0000 0.5000
Ag 0.0000 0.5000 0.5000
Ag 0.5000 0.0000 0.5000
Ag 0.5000 0.5000 0.5000
Br 0.2286 0.2286 0.7027
Br 0.2348 0.7486 0.7083
Br 0.2514 0.7652 0.2917
Br 0.2597 0.2597 0.2906
Br 0.7403 0.7403 0.7094
Br 0.7486 0.2348 0.7083
Br 0.7652 0.2514 0.2917
Br 0.7714 0.7714 0.2973

=====

Record 3
A geometry-optimized K3CdAg2Br9 structure. Source: Alexandria via LeMat-Bulk, functional PBE.

Values from the calculation:
- VASP energy (eV per formula unit) = -38.85
- energy relative to the elements, uncorrected (eV per atom) = -0.93
- space group = P-3m1, No. 164
- ρ (g/cm³) = 3.97
- Fermi-level density of states (states/eV per atom) = 0.219

Unit cell a=7.7153 b=7.7153 c=9.4606 alpha=90.00 beta=90.00 gamma=120.00
Positions (direct):
K 0.0000 0.0000 0.0000
K 0.3333 0.6667 0.6643
K 0.6667 0.3333 0.3357
Cd 0.0000 0.0000 0.5000
Ag 0.3333 0.6667 0.1615
Ag 0.6667 0.3333 0.8385
Br 0.0000 0.5000 0.0000
Br 0.1674 0.3349 0.3302
Br 0.1674 0.8326 0.3302
Br 0.3349 0.1674 0.6698
Br 0.5000 0.0000 0.0000
Br 0.5000 0.5000 0.0000
Br 0.6651 0.8326 0.3302
Br 0.8326 0.1674 0.6698
Br 0.8326 0.6651 0.6698

=====

Record 4
A geometry-optimized K2CdAgBr5 structure. Source: Alexandria via LeMat-Bulk, functional PBE.

Values from the calculation:
- VASP energy (eV per formula unit) = -24.45
- energy relative to the elements, uncorrected (eV per atom) = -1.13
- space group = Cmc2_1, No. 36
- ρ (g/cm³) = 3.91
- Fermi-level density of states (states/eV per atom) = 0.000

Unit cell a=10.3443 b=10.3443 c=13.4922 alpha=90.00 beta=90.00 gamma=155.74
Positions (direct):
K 0.1251 0.8749 0.5000
K 0.1295 0.8705 0.8690
K 0.8705 0.1295 0.3690
K 0.8749 0.1251 0.0000
Cd 0.4285 0.5715 0.6336
Cd 0.5715 0.4285 0.1336
Ag 0.2315 0.7685 0.2244
Ag 0.7685 0.2315 0.7244
Br 0.0404 0.9596 0.2384
Br 0.2990 0.7010 0.8433
Br 0.3079 0.6921 0.5600
Br 0.3620 0.6380 0.1857
Br 0.4935 0.5065 0.4643
Br 0.5065 0.4935 0.9643
Br 0.6380 0.3620 0.6857
Br 0.6921 0.3079 0.0600
Br 0.7010 0.2990 0.3433
Br 0.9596 0.0404 0.7384

=====

Look up the energy relative to the elements, uncorrected of the fourth one. -1.13 eV per atom

=====

The highest Fermi-level density of states belongs to which entry? K2CdAgBr6